1.
Zn3AsAu after structural relaxation, computed with PBE-GGA.

Geometry as extended XYZ:
```
5
Lattice="4.872 0.000 0.000 0.000 4.872 0.000 0.000 0.000 4.872" Properties=species:S:1:pos:R:3 pbc="T T T"
Zn 0.000 0.000 2.436
Zn 0.000 2.436 0.000
Zn 2.436 0.000 0.000
As 0.000 0.000 0.000
Au 2.436 2.436 2.436
```

Calculated values
**Mass density**: 6.72 g/cm³
**SG**: Pm-3m
**ΔE_f**: 193.4 kJ/mol of formula units
**Relative energy among the computed polymorphs**: 0.008 eV per atom

2.
ZnAs2Au after structural relaxation, computed with PBE-GGA.

Geometry as extended XYZ:
```
4
Lattice="-1.393 2.597 5.151 1.393 -2.597 5.151 1.393 2.597 -5.151" Properties=species:S:1:pos:R:3 pbc="T T T"
Zn 0.000 0.000 0.000
As 1.393 0.000 2.653
As 0.000 2.597 2.498
Au 0.000 0.000 5.151
```

Calculated values
**Mass density**: 9.18 g/cm³
**SG**: Immm
**ΔE_f**: 75.7 kJ/mol of formula units